No. 1
The following is a SCAN calculation of a crystal of AlCo3C relaxed with PBEsol, from Alexandria via LeMat-Bulk.

Cell: 3.6793 3.6793 3.6793 Å, 90.00 90.00 90.00°
Sites, in units of the cell vectors:
Al (0.5000, 0.5000, 0.5000)
Co (0.5000, 0.0000, 0.0000)
Co (0.0000, 0.5000, 0.0000)
Co (0.0000, 0.0000, 0.5000)
C (0.0000, 0.0000, 0.0000)

Calculated values
SG ... Pm-3m, No. 221
Raw total energy ... -14.056 eV/atom
Total moment ... 0.03 μB/cell


No. 2
The following is a SCAN calculation of a crystal of AlCoC2 relaxed with PBEsol, from Alexandria via LeMat-Bulk.

Cell: 4.3724 4.3724 5.4539 Å, 113.63 113.63 90.00°
Sites, in units of the cell vectors:
C (0.3342, 0.8750, 0.2500)
C (0.9158, 0.3750, 0.2500)
C (0.1250, 0.0842, 0.7500)
C (0.6250, 0.6658, 0.7500)
Co (0.0000, 0.0000, 0.0000)
Co (0.2500, 0.7500, 0.5000)
Al (0.5000, 0.5000, 0.0000)
Al (0.7500, 0.2500, 0.5000)

Calculated values
SG ... I-42d, No. 122
Raw total energy ... -10.709 eV/atom
Total moment ... 0.00 μB/cell


No. 3
The following is a SCAN calculation of a crystal of AlCoPb2C relaxed with PBEsol, from Alexandria via LeMat-Bulk.

Cell: 3.5828 5.1723 5.1723 Å, 90.00 90.00 90.00°
Sites, in units of the cell vectors:
C (0.0000, 0.0000, 0.0000)
Pb (0.0000, 0.5000, 0.0000)
Pb (0.0000, 0.0000, 0.5000)
Co (0.5000, 0.0000, 0.0000)
Al (0.5000, 0.5000, 0.5000)

Calculated values
SG ... P4/mmm, No. 123
Raw total energy ... -36.498 eV/atom
Total moment ... 0.00 μB/cell


No. 4
The following is a SCAN calculation of a crystal of Ta3Al2CoC relaxed with PBEsol, from Alexandria via LeMat-Bulk.

Cell: 8.1310 8.1310 8.1310 Å, 60.00 60.00 60.00°
Sites, in units of the cell vectors:
Al (0.4181, 0.4181, 0.4181)
Al (0.4181, 0.7456, 0.4181)
Al (0.8319, 0.8319, 0.5044)
Al (0.4181, 0.4181, 0.7456)
Al (0.5044, 0.8319, 0.8319)
Al (0.7456, 0.4181, 0.4181)
Al (0.8319, 0.8319, 0.8319)
Al (0.8319, 0.5044, 0.8319)
Ta (0.4392, 0.4392, 0.0608)
Ta (0.4392, 0.0608, 0.0608)
Ta (0.8108, 0.1892, 0.1892)
Ta (0.1892, 0.1892, 0.8108)
Ta (0.0608, 0.4392, 0.4392)
Ta (0.0608, 0.4392, 0.0608)
Ta (0.4392, 0.0608, 0.4392)
Ta (0.1892, 0.8108, 0.8108)
Ta (0.8108, 0.1892, 0.8108)
Ta (0.1892, 0.8108, 0.1892)
Ta (0.8108, 0.8108, 0.1892)
Ta (0.0608, 0.0608, 0.4392)
C (0.1250, 0.1250, 0.6250)
C (0.6250, 0.1250, 0.1250)
C (0.1250, 0.6250, 0.1250)
C (0.1250, 0.1250, 0.1250)
Co (0.6250, 0.6250, 0.1250)
Co (0.6250, 0.1250, 0.6250)
Co (0.1250, 0.6250, 0.6250)
Co (0.6250, 0.6250, 0.6250)

Calculated values
SG ... Fd-3m, No. 227
Raw total energy ... -35.240 eV/atom
Total moment ... 0.00 μB/cell